The following is a PBE calculation of a relaxed structure of SrSnHPt2, from Alexandria.

Summary:
* total magnetization: 0.00 μB/f.u.
* crystal system: orthorhombic
* final energy: -4.893 eV/atom

```
data_SrSnHPt2
_cell_length_a 4.0340
_cell_length_b 12.0302
_cell_length_c 7.6571
_cell_angle_alpha 90.00
_cell_angle_beta 90.00
_cell_angle_gamma 90.00
_space_group_name_H-M_alt 'C m c m'
_space_group_IT_number 63
_space_group_name_Hall '-C 2c 2'
loop_
_atom_site_label
_atom_site_type_symbol
_atom_site_fract_x
_atom_site_fract_y
_atom_site_fract_z
Sr1 Sr 0.0000 0.0381 0.2500
Sn1 Sn 0.0000 0.2393 0.7500
H1 H 0.0000 0.5000 0.0000
Pt1 Pt 0.0000 0.3525 0.0574
```



The following is a PBE calculation of a relaxed structure of Cd3AsO, from Alexandria.

Summary:
* total magnetization: 0.00 μB/f.u.
* energy relative to the elements, uncorrected: -0.171 eV per atom
* crystal system: cubic
* ΔE to the lowest computed polymorph: 14.8 kJ per mole of atoms

```
data_Cd3AsO
_cell_length_a 4.6390
_cell_length_b 4.6390
_cell_length_c 4.6390
_cell_angle_alpha 90.00
_cell_angle_beta 90.00
_cell_angle_gamma 90.00
_space_group_name_H-M_alt 'P m -3 m'
_space_group_IT_number 221
_space_group_name_Hall '-P 4 2 3'
loop_
_atom_site_label
_atom_site_type_symbol
_atom_site_fract_x
_atom_site_fract_y
_atom_site_fract_z
Cd1 Cd 0.0000 0.0000 0.5000
As1 As 0.5000 0.5000 0.5000
O1 O 0.0000 0.0000 0.0000
```